First-principles (GGA-PBE) data for a geometry-optimized BaNaP2S structure, as listed in Alexandria.

Output
- Space group: P4/mmm (123)
- Formation energy without anion corrections: 0.59 eV per atom

Cell and atoms, written as POSCAR:
```
BaNaP2S
1.0
-2.768 -4.206 3.497
-0.716 -3.607 -4.905
5.167 -2.499 1.083
P Ba Na S
2 1 1 1
direct
0.000 0.500 0.000
0.500 0.000 0.000
0.000 0.000 0.000
0.500 0.500 0.500
0.000 0.000 0.500
```

***

First-principles (GGA-PBE) data for a geometry-optimized Pr7NdEr12 structure, as listed in Alexandria.

Output
- Total DFT energy (no corrections): -4.02 eV/atom
- Space group: Im-3m (229)

Cell and atoms, written as POSCAR:
```
Pr7NdEr12
1.0
0.626 9.717 0.972
-0.900 -2.279 -9.474
-7.814 -3.272 4.898
Pr Er Nd
7 12 1
direct
0.500 0.000 0.000
0.500 0.500 0.500
0.000 0.500 0.500
0.000 0.500 0.000
0.000 0.000 0.500
0.500 0.000 0.500
0.500 0.500 0.000
0.750 0.750 0.501
0.250 0.250 0.499
0.000 0.750 0.250
0.000 0.250 0.750
0.501 0.750 0.750
0.750 0.000 0.250
0.250 0.499 0.250
0.250 0.750 0.000
0.499 0.250 0.250
0.750 0.250 0.000
0.750 0.501 0.750
0.250 0.000 0.750
0.000 0.000 0.000
```

***

First-principles (GGA-PBE) data for a geometry-optimized Pr4NdEr5 structure, as listed in Alexandria.

Output
- Total DFT energy (no corrections): -4.43 eV/atom
- Space group: I4mm (107)

Cell and atoms, written as POSCAR:
```
Pr4NdEr5
1.0
-1.445 4.598 3.646
3.638 -0.623 7.237
5.159 6.225 -0.796
Er Nd Pr
5 1 4
direct
0.125 0.621 0.000
0.678 0.000 0.000
0.746 0.379 0.000
0.125 0.000 0.621
0.746 0.000 0.379
0.203 0.000 0.000
0.797 0.675 0.675
0.472 0.675 0.325
0.147 0.325 0.325
0.472 0.325 0.675
```

***

First-principles (GGA-PBE) data for a geometry-optimized NaZrMn3 structure, as listed in Alexandria.

Output
- Total DFT energy (no corrections): -6.27 eV/atom
- Space group: Pm-3m (221)

Cell and atoms, written as POSCAR:
```
NaZrMn3
1.0
-4.994 -0.189 -0.114
-0.070 -1.082 4.880
-0.209 4.877 1.078
Mn Zr Na
3 1 1
direct
0.000 0.500 0.000
0.000 0.000 0.500
0.500 0.000 0.000
0.000 0.000 0.000
0.500 0.500 0.500
```

***

First-principles (GGA-PBE) data for a geometry-optimized BePt2Se structure, as listed in Alexandria.

Output
- Space group: R3m (160)
- Formation energy without anion corrections: -0.01 eV per atom

Cell and atoms, written as POSCAR:
```
BePt2Se
1.0
-0.743 2.463 -7.439
-3.534 1.582 -6.853
-2.628 4.308 -6.040
Be Pt Se
1 2 1
direct
0.748 0.748 0.748
0.246 0.246 0.246
0.014 0.014 0.014
0.492 0.492 0.492
```

***

First-principles (GGA-PBE) data for a geometry-optimized CaAl3F structure, as listed in Alexandria.

Output
- Space group: Pm-3m (221)
- Formation energy without anion corrections: -0.44 eV per atom

Cell and atoms, written as POSCAR:
```
CaAl3F
1.0
4.648 0.000 0.000
0.000 4.648 0.000
0.000 0.000 4.648
Al F Ca
3 1 1
direct
0.000 0.500 0.000
0.000 0.000 0.500
0.500 0.000 0.000
0.000 0.000 0.000
0.500 0.500 0.500
```

***

First-principles (GGA-PBE) data for a geometry-optimized Pm2HoTm8 structure, as listed in Alexandria.

Output
- Total DFT energy (no corrections): -4.51 eV/atom
- Space group: C2/m (12)

Cell and atoms, written as POSCAR:
```
Pm2HoTm8
1.0
-3.011 -3.581 1.694
6.101 -3.422 3.611
-1.900 7.506 5.182
Tm Ho Pm
8 1 2
direct
0.319 0.092 0.638
0.956 0.272 0.911
0.681 0.908 0.362
0.410 0.546 0.821
0.135 0.178 0.271
0.044 0.728 0.089
0.865 0.822 0.729
0.590 0.454 0.179
0.500 0.000 0.000
0.773 0.363 0.546
0.227 0.637 0.454
```

***

First-principles (GGA-PBE) data for a geometry-optimized AcDyInSn structure, as listed in Alexandria.

Output
- Total DFT energy (no corrections): -4.33 eV/atom
- Space group: F-43m (216)

Cell and atoms, written as POSCAR:
```
AcDyInSn
1.0
5.581 0.000 0.000
2.791 4.834 0.000
2.791 1.611 4.557
Sn In Ac Dy
1 1 1 1
direct
0.500 0.500 0.500
0.000 0.000 0.000
0.750 0.750 0.750
0.250 0.250 0.250
```

***

Theoretical density across the listed records, respectively: 1.9 7.2 7.5 3.7 13.4 2.3 8.8 8.4 g/cm³.